1.
Sr2CuNiGe4: optimized geometry, PBE.

Geometry as extended XYZ:
```
8
Lattice="-3.4630 1.8357 -1.4923 -5.0961 -5.1967 5.4332 -4.2349 -1.5853 7.8771" Properties=species:S:1:pos:R:3 pbc="T T T"
Cu -7.6827 -5.5840 10.9590
Ge -2.1468 0.6160 -0.1538
Ge -2.2999 -1.6716 3.2807
Ge -8.7010 -4.1478 9.1955
Ge -8.9733 -6.5220 12.8000
Ni -3.4149 -0.3057 1.6552
Sr -5.3709 -1.7274 4.4453
Sr -5.6607 -4.1143 8.0747
```


2.
Hf2Al2NiAg2Pd: optimized geometry, PBE.

Geometry as extended XYZ:
```
8
Lattice="4.5378 0.0000 0.0000 0.0000 4.5378 0.0000 0.0000 0.0000 6.4584" Properties=species:S:1:pos:R:3 pbc="T T T"
Ag 2.2689 2.2689 0.0000
Ag 0.0000 0.0000 3.2292
Al 0.0000 2.2689 1.6470
Al 2.2689 0.0000 4.8113
Hf 2.2689 0.0000 1.6832
Hf 0.0000 2.2689 4.7752
Ni 2.2689 2.2689 3.2292
Pd 0.0000 0.0000 0.0000
```


Values of total DFT energy (no corrections), in order: -4.366, -5.869, all in eV/atom.